(1)
DFT (GGA-PBE) results for crystalline CdMo2Cl at its relaxed geometry.

a b c (Å): 5.5256 5.5256 2.7668
angles (deg): 90.00 90.00 121.59
Fractional coordinates of all 4 atoms:
Cd (0.0000, 0.0000, 0.0000)
Mo (0.0000, 0.5000, 0.5000)
Mo (0.5000, 0.0000, 0.5000)
Cl (0.5000, 0.5000, 0.0000)

Output
energy relative to the lowest polymorph listed for this composition	0.870	eV/atom
DOS(E_F)	3.6	states/eV/cell


(2)
DFT (GGA-PBE) results for crystalline CdMo2Cl at its relaxed geometry.

a b c (Å): 9.1688 9.1688 9.1688
angles (deg): 18.33 18.33 18.33
Fractional coordinates of all 4 atoms:
Cd (0.0000, 0.0000, 0.0000)
Mo (0.2419, 0.2419, 0.2419)
Mo (0.7581, 0.7581, 0.7581)
Cl (0.5000, 0.5000, 0.5000)

Output
energy relative to the lowest polymorph listed for this composition	0.467	eV/atom
DOS(E_F)	3.6	states/eV/cell


- energy relative to the lowest polymorph listed for this composition of number 1 (CdMo2Cl)?
  0.870 eV/atom


- energy relative to the lowest polymorph listed for this composition of number 1 (CdMo2Cl)?
  0.870 eV/atom


- The highest energy relative to the lowest polymorph listed for this composition belongs to which entry?
  number 1